The following is a DFT calculation (PBE) of a relaxed Dy3YEr6 crystal.

- Magnetic moment: 0.01 μB/f.u.
- Formation energy from the elements: 15.0 kJ per mole of atoms

a b c (Å): 10.8810 10.8810 6.1540
angles (deg): 90.00 90.00 119.75
Last column: nearest neighbours and their distance in Å.
Positions (direct):
Dy 0.1089 0.8911 0.5000  5 Er 3.33-3.58, 1 Y 3.52, 2 Dy 3.65
Dy 0.2199 0.4381 0.1087  6 Er 3.24-3.56, 1 Y 3.25
Dy 0.4381 0.2199 0.6087  6 Er 3.24-3.56, 1 Y 3.25
Dy 0.5619 0.7801 0.1087  6 Er 3.24-3.56, 1 Y 3.25
Dy 0.7801 0.5619 0.6087  6 Er 3.24-3.56, 1 Y 3.25
Dy 0.8911 0.1089 0.0000  5 Er 3.33-3.58, 1 Y 3.52, 2 Dy 3.65
Y 0.2945 0.7055 0.4261  3 Dy 3.25-3.52, 7 Er 3.27-3.40
Y 0.7055 0.2945 0.9261  3 Dy 3.25-3.52, 7 Er 3.27-3.40
Er 0.0361 0.4577 0.7093  5 Er 3.21-3.41, 2 Dy 3.24-3.54, 2 Y 3.27-3.40
Er 0.1178 0.2123 0.5350  6 Er 3.38-3.74, 4 Dy 3.38-3.58
Er 0.2123 0.1178 0.0350  6 Er 3.38-3.74, 4 Dy 3.38-3.58
Er 0.2177 0.7823 0.9270  4 Er 3.21-3.35, 1 Dy 3.33, 2 Y 3.39-3.40
Er 0.4544 0.5456 0.6554  1 Y 3.32, 4 Dy 3.47-3.56, 2 Er 3.52
Er 0.4577 0.0361 0.2093  5 Er 3.21-3.41, 2 Dy 3.24-3.54, 2 Y 3.27-3.40
Er 0.5423 0.9639 0.7093  5 Er 3.21-3.41, 2 Dy 3.24-3.54, 2 Y 3.27-3.40
Er 0.5456 0.4544 0.1554  1 Y 3.32, 4 Dy 3.47-3.56, 2 Er 3.52
Er 0.7823 0.2177 0.4270  4 Er 3.21-3.35, 1 Dy 3.33, 2 Y 3.39-3.40
Er 0.7877 0.8822 0.5350  6 Er 3.38-3.74, 4 Dy 3.38-3.58
Er 0.8822 0.7877 0.0350  6 Er 3.38-3.74, 4 Dy 3.38-3.58
Er 0.9639 0.5423 0.2093  5 Er 3.21-3.41, 2 Dy 3.24-3.54, 2 Y 3.27-3.40